CaSi2Te | PBE-GGA | relaxed

- Total energy: -15.33 eV/f.u.
- E_form (uncorrected): 0.16 eV/atom

a b c (Å): 3.8413 3.8413 23.4071
angles (deg): 90.00 90.00 120.00
Space group R-3m (No. 166, hexagonal axes)
Symmetry-distinct sites (fractional):
Ca  0.0000  0.0000  0.0000 (multiplicity 3)
Si  0.0000  0.0000  0.2399 (multiplicity 6)
Te  0.0000  0.0000  0.5000 (multiplicity 3)



CaSiTe2 | PBE-GGA | relaxed

- Total energy: -14.83 eV/f.u.
- E_form (uncorrected): -0.28 eV/atom

a b c (Å): 3.9371 3.9371 6.9188
angles (deg): 90.00 90.00 90.00
Space group P4/mmm (No. 123)
Symmetry-distinct sites (fractional):
Ca  0.0000  0.0000  0.0000 (multiplicity 1)
Si  0.0000  0.0000  0.5000 (multiplicity 1)
Te  0.5000  0.5000  0.2565 (multiplicity 2)



Ca2SiTe | PBE-GGA | relaxed

- Total energy: -15.30 eV/f.u.
- E_form (uncorrected): -0.68 eV/atom

a b c (Å): 11.7058 4.1421 4.6916
angles (deg): 90.00 100.80 90.00
Space group Cm (No. 8)
Symmetry-distinct sites (fractional):
Ca  0.0000  0.0000  0.0000 (multiplicity 2)
Ca  0.2366  0.5000  0.5068 (multiplicity 2)
Si  0.4757  0.0000  0.4809 (multiplicity 2)
Te  0.2760  0.0000  0.0375 (multiplicity 2)



Ca2SiTe | PBE-GGA | relaxed

- Total energy: -15.31 eV/f.u.
- E_form (uncorrected): -0.69 eV/atom

a b c (Å): 3.8328 3.8875 7.1978
angles (deg): 90.00 90.07 90.00
Space group P2/m (No. 10)
Symmetry-distinct sites (fractional):
Ca  0.0002  0.0000  0.2384 (multiplicity 2)
Si  0.5000  0.5000  0.0000 (multiplicity 1)
Te  0.5000  0.5000  0.5000 (multiplicity 1)